Entry from the Alexandria database: Be2B2Pt at its PBEsol-relaxed geometry (meta-GGA SCAN).

The magnetic moment comes out at 0.0 μB/cell. The value obtained for the total DFT energy (no corrections) is -18.99 eV per atom. As for the formation energy: -22.9 kJ/mol of atoms. The density of states at the Fermi level comes out at 0.56 states/eV/f.u.

The structure belongs to space group P4/mbm (No. 127); the cell edges are 5.399, 5.399 and 3.014 Å and the angles 90.00°, 90.00° and 90.00°. The asymmetric unit holds Be at (0.157, 0.343, 0.000), B at (0.107, 0.607, 0.500) and Pt at (0.000, 0.000, 0.500).

Entry from the Alexandria database: Be2InIrSe at its PBEsol-relaxed geometry (meta-GGA SCAN).

The magnetic moment comes out at 0.0 μB/cell. The value obtained for the total DFT energy (no corrections) is -26.31 eV per atom. As for the raw formation energy: 0.34 eV/atom. The density of states at the Fermi level comes out at 3.20 states/eV/f.u.

The structure belongs to space group P4/mmm (No. 123); the cell edges are 4.341, 4.341 and 4.949 Å and the angles 90.00°, 90.00° and 90.00°. The asymmetric unit holds Be at (0.000, 0.500, 0.000), In at (0.000, 0.000, 0.500), Ir at (0.500, 0.500, 0.000) and Se at (0.500, 0.500, 0.500).

Entry from the Alexandria database: BaAlPS2 at its PBEsol-relaxed geometry (meta-GGA SCAN).

The magnetic moment comes out at 4.0 μB/cell. The value obtained for the total DFT energy (no corrections) is -14.67 eV per atom. As for the raw formation energy: 0.72 eV/atom. The calculation puts the distance to the lowest polymorph of the same formula at 1686 meV per atom. The density of states at the Fermi level comes out at 2.25 states/eV/f.u.

The structure belongs to space group P4/mmm (No. 123); the cell edges are 5.716, 5.716 and 5.940 Å and the angles 90.00°, 90.00° and 90.00°. The asymmetric unit holds Ba at (0.000, 0.000, 0.000), Al at (0.500, 0.500, 0.500), P at (0.000, 0.000, 0.500) and S at (0.000, 0.500, 0.000).

Entry from the Alexandria database: Mg2ScTc at its PBEsol-relaxed geometry (meta-GGA SCAN).

The magnetic moment comes out at 0.0 μB/cell. The value obtained for the total DFT energy (no corrections) is -14.73 eV per atom. As for the formation energy: 7.6 kJ/mol of atoms. The calculation puts the distance to the lowest polymorph of the same formula at 76 meV per atom. The density of states at the Fermi level comes out at 2.95 states/eV/f.u.

The structure belongs to space group P4/mmm (No. 123); the cell edges are 3.958, 3.958 and 4.618 Å and the angles 90.00°, 90.00° and 90.00°. The asymmetric unit holds Mg at (0.000, 0.500, 0.000), Sc at (0.000, 0.000, 0.500) and Tc at (0.500, 0.500, 0.500).

Entry from the Alexandria database: HgSbPt2 at its PBEsol-relaxed geometry (meta-GGA SCAN).

The magnetic moment comes out at 0.0 μB/cell. The value obtained for the total DFT energy (no corrections) is -61.57 eV per atom. As for the raw formation energy: -0.12 eV/atom. The density of states at the Fermi level comes out at 1.38 states/eV/f.u.

The structure belongs to space group Pmmm (No. 47); the cell edges are 3.855, 3.869 and 5.330 Å and the angles 90.00°, 90.00° and 90.00°. The asymmetric unit holds Hg at (0.000, 0.000, 0.000), Sb at (0.500, 0.500, 0.500), Pt at (0.000, 0.000, 0.500) and Pt at (0.500, 0.500, 0.000).

Entry from the Alexandria database: Sm2Ga5Cu3 at its PBEsol-relaxed geometry (meta-GGA SCAN).

The magnetic moment comes out at 0.0 μB/cell. The value obtained for the total DFT energy (no corrections) is -22.20 eV per atom. As for the formation energy: -55.4 kJ/mol of atoms. The density of states at the Fermi level comes out at 3.29 states/eV/f.u.

The structure belongs to space group P-4m2 (No. 115); the cell edges are 4.124, 4.124 and 10.123 Å and the angles 90.00°, 90.00° and 90.00°. The asymmetric unit holds Sm at (0.000, 0.500, 0.243), Ga at (0.000, 0.000, 0.500), Ga at (0.000, 0.500, 0.638), Ga at (0.000, 0.500, 0.879), Cu at (0.000, 0.000, 0.000), Cu at (0.500, 0.500, 0.000) and Cu at (0.500, 0.500, 0.500).

Entry from the Alexandria database: KBe4Sb at its PBEsol-relaxed geometry (meta-GGA SCAN).

The magnetic moment comes out at 0.0 μB/cell. The value obtained for the total DFT energy (no corrections) is -9.71 eV per atom. As for the raw formation energy: 0.79 eV/atom. The density of states at the Fermi level comes out at 3.00 states/eV/f.u.

The structure belongs to space group F-43m (No. 216); the cell edges are 7.172, 7.172 and 7.172 Å and the angles 90.00°, 90.00° and 90.00°. The asymmetric unit holds K at (0.000, 0.000, 0.000), Be at (0.129, 0.129, 0.371) and Sb at (0.250, 0.250, 0.750).

Entry from the Alexandria database: SrIn2As at its PBEsol-relaxed geometry (meta-GGA SCAN).

The magnetic moment comes out at 0.0 μB/cell. The value obtained for the total DFT energy (no corrections) is -27.82 eV per atom. As for the formation energy: -49.3 kJ/mol of atoms. The density of states at the Fermi level comes out at 1.68 states/eV/f.u.

The structure belongs to space group Cmmm (No. 65); the cell edges are 6.077, 7.651 and 4.854 Å and the angles 90.00°, 90.00° and 90.00°. The asymmetric unit holds Sr at (0.000, 0.000, 0.000), In at (0.000, 0.301, 0.500) and As at (0.000, 0.500, 0.000).